InTcNi2: relaxed, GGA-PBE.

a b c (Å): 2.9828 2.9828 6.3675
angles (deg): 90.00 90.00 90.00
Space group P4mm (No. 99)
Asymmetric unit:
In: 0.0000 0.0000 0.0000 [1 per cell]
Tc: 0.5000 0.5000 0.6833 [1 per cell]
Ni: 0.0000 0.0000 0.4709 [1 per cell]
Ni: 0.5000 0.5000 0.2625 [1 per cell]

Summary:
- Calculated density: 9.68 g/cm3
- Crystal system: tetragonal
- Magnetization: 0.00 μB/f.u.
- Uncorrected energy: -6.042 eV/atom
- Fermi-level density of states: 3.69 states/eV per cell